(1)
Computed, not measured: an optimized crystal structure of KCeIO6 at the PBE level of DFT.

For the formation energy (no corrections), the calculation gives -1580 meV/atom. Its total energy is -52.6 eV per cell. As for the theoretical density: 4.06 g/cm³. The value obtained for the total magnetic moment is 0.000 μB per formula unit.

It has space group P312 (No. 149), with a = 5.7432 Å, b = 5.7432 Å, c = 5.7621 Å, α = 90.00°, β = 90.00° and γ = 120.00°. The asymmetric unit holds K at (0.0000, 0.0000, 0.0000), Ce at (0.3333, 0.6667, 0.5000), I at (0.6667, 0.3333, 0.5000) and O at (0.4054, 0.0478, 0.6876).

=====

(2)
Computed, not measured: an optimized crystal structure of KCe2IO8 at the PBE level of DFT.

For the formation energy (no corrections), the calculation gives -1948 meV/atom. Its total energy is -77.6 eV per cell. As for the theoretical density: 5.09 g/cm³. The value obtained for the total magnetic moment is 0.000 μB per formula unit.

It has space group P2/m (No. 10), with a = 5.089 Å, b = 7.228 Å, c = 5.092 Å, α = 90.00°, β = 91.79° and γ = 90.00°. The asymmetric unit holds K at (0.000, 0.000, 0.000), Ce at (0.500, 0.244, 0.500), I at (0.000, 0.500, 0.000), O at (0.189, 0.313, 0.188), O at (0.266, 0.500, 0.734) and O at (0.333, 0.000, 0.665).

=====

(3)
Computed, not measured: an optimized crystal structure of K2CeIO6 at the PBE level of DFT.

For the formation energy (no corrections), the calculation gives -1712 meV/atom. Its total energy is -226.2 eV per cell. As for the theoretical density: 4.77 g/cm³. The value obtained for the total magnetic moment is 0.000 μB per formula unit.

It has space group Fm-3m (No. 225), with a = 8.503 Å, b = 8.503 Å, c = 8.503 Å, α = 90.00°, β = 90.00° and γ = 90.00°. The asymmetric unit holds K at (0.250, 0.250, 0.250), Ce at (0.000, 0.000, 0.000), I at (0.000, 0.000, 0.500) and O at (0.000, 0.000, 0.265).

=====

(4)
Computed, not measured: an optimized crystal structure of K2CeI2O2 at the PBE level of DFT.

For the formation energy (no corrections), the calculation gives -2084 meV/atom. Its total energy is -71.5 eV per cell. As for the theoretical density: 4.19 g/cm³. The value obtained for the total magnetic moment is 0.000 μB per formula unit.

It has space group I4/mmm (No. 139), with a = 4.492 Å, b = 4.492 Å, c = 19.807 Å, α = 90.00°, β = 90.00° and γ = 90.00°. The asymmetric unit holds K at (0.000, 0.000, 0.103), Ce at (0.000, 0.000, 0.500), I at (0.000, 0.000, 0.336) and O at (0.000, 0.500, 0.000).

=====

(5)
Computed, not measured: an optimized crystal structure of K2CePbI8 at the PBE level of DFT.

For the formation energy (no corrections), the calculation gives -1095 meV/atom. Its total energy is -37.4 eV per cell. As for the theoretical density: 3.94 g/cm³. The value obtained for the total magnetic moment is 0.089 μB per formula unit.

It has space group P-1 (No. 2), with a = 7.530 Å, b = 8.366 Å, c = 9.655 Å, α = 89.99°, β = 90.00° and γ = 87.68°. The asymmetric unit holds K at (0.001, 0.000, 0.246), Ce at (0.500, 0.500, 0.500), Pb at (0.500, 0.500, 0.000), I at (0.266, 0.372, 0.731), I at (0.266, 0.373, 0.269), I at (0.266, 0.822, 0.000) and I at (0.286, 0.813, 0.500).

=====

(6)
Computed, not measured: an optimized crystal structure of KCePbI6 at the PBE level of DFT.

For the formation energy (no corrections), the calculation gives -1148 meV/atom. Its total energy is -60.8 eV per cell. As for the theoretical density: 4.19 g/cm³. The value obtained for the total magnetic moment is 1.000 μB per formula unit.

It has space group P-31c (No. 163), with a = 8.2483 Å, b = 8.2483 Å, c = 15.4372 Å, α = 90.00°, β = 90.00° and γ = 120.00°. The asymmetric unit holds K at (0.0000, 0.0000, 0.0000), Ce at (0.3333, 0.6667, 0.2500), Pb at (0.3333, 0.6667, 0.7500) and I at (0.0094, 0.3680, 0.1314).

=====

(7)
Computed, not measured: an optimized crystal structure of KCePrI6 at the PBE level of DFT.

For the formation energy (no corrections), the calculation gives -1353 meV/atom. Its total energy is -66.6 eV per cell. As for the theoretical density: 3.97 g/cm³. The value obtained for the total magnetic moment is 2.040 μB per formula unit.

It has space group P-31c (No. 163), with a = 8.0043 Å, b = 8.0043 Å, c = 16.3143 Å, α = 90.00°, β = 90.00° and γ = 120.00°. The asymmetric unit holds K at (0.0000, 0.0000, 0.0000), Ce at (0.3333, 0.6667, 0.2500), Pr at (0.3333, 0.6667, 0.7500) and I at (0.0022, 0.3568, 0.6340).

=====

(8)
Computed, not measured: an optimized crystal structure of K2RbCeI6 at the PBE level of DFT.

For the formation energy (no corrections), the calculation gives -1435 meV/atom. As for the excess energy over the best structure of this formula in the dataset: 0.00 eV/f.u. Its total energy is -98.2 eV per cell. As for the theoretical density: 3.35 g/cm³. The value obtained for the total magnetic moment is 1.000 μB per formula unit.

It has space group R3 (No. 146, hexagonal axes), with a = 8.8378 Å, b = 8.8378 Å, c = 23.3946 Å, α = 90.00°, β = 90.00° and γ = 120.00°. The asymmetric unit holds K at (0.0000, 0.0000, 0.0000), K at (0.0000, 0.0000, 0.4886), Rb at (0.0000, 0.0000, 0.1984), Ce at (0.0000, 0.0000, 0.6881), I at (0.0017, 0.7204, 0.6038) and I at (0.0170, 0.3823, 0.4278).